Record 1
{
  "formula": "NaScGaAu",
  "functional": "GGA-PBE",
  "state": "optimized geometry",
  "spacegroup": "F-43m (216)",
  "total_energy_ev_per_atom": -3.845,
  "formation_enthalpy_0k_ev_per_atom": -0.36,
  "cell": [[4.813, 0.000, 0.000], [2.407, 4.168, 0.000], [2.407, 1.389, 3.930]],
  "species": ["Sc", "Au", "Na", "Ga"],
  "fractional_positions": [[0.750, 0.750, 0.750], [0.000, 0.000, 0.000], [0.250, 0.250, 0.250], [0.500, 0.500, 0.500]]
}


Record 2
{
  "formula": "NaGaAu2Se",
  "functional": "GGA-PBE",
  "state": "optimized geometry",
  "formation_energy_uncorrected_mev_per_atom": 119,
  "spacegroup": "P4/mmm (123)",
  "total_energy_ev_per_atom": -2.758,
  "cell": [[5.152, 0.000, 0.000], [0.000, 5.186, 0.000], [0.000, 0.000, 5.152]],
  "species": ["Ga", "Se", "Au", "Au", "Na"],
  "fractional_positions": [[0.500, 0.500, 0.500], [0.000, 0.000, 0.000], [0.000, 0.000, 0.500], [0.500, 0.000, 0.000], [0.000, 0.500, 0.000]]
}


Record 3
{
  "formula": "NaSmGa2Au2",
  "functional": "GGA-PBE",
  "state": "optimized geometry",
  "spacegroup": "P-3m1 (164)",
  "total_energy_ev_per_atom": -3.645,
  "formation_enthalpy_0k_ev_per_atom": -0.54,
  "cell": [[4.588, 0.000, 0.000], [-2.294, 3.973, 0.000], [0.000, 0.000, 6.887]],
  "species": ["Au", "Au", "Ga", "Ga", "Sm", "Na"],
  "fractional_positions": [[0.333, 0.667, 0.257], [0.667, 0.333, 0.743], [0.333, 0.667, 0.728], [0.667, 0.333, 0.272], [0.000, 0.000, 0.000], [0.000, 0.000, 0.500]]
}


Record 4
{
  "formula": "NaSmGaAu",
  "functional": "GGA-PBE",
  "state": "optimized geometry",
  "spacegroup": "F-43m (216)",
  "total_energy_ev_per_atom": -3.510,
  "formation_enthalpy_0k_ev_per_atom": -0.42,
  "cell": [[5.053, 0.000, 0.000], [2.527, 4.376, 0.000], [2.527, 1.459, 4.126]],
  "species": ["Sm", "Ga", "Au", "Na"],
  "fractional_positions": [[0.500, 0.500, 0.500], [0.250, 0.250, 0.250], [0.750, 0.750, 0.750], [0.000, 0.000, 0.000]]
}


Record 5
{
  "formula": "NaGa2SnAu4",
  "functional": "GGA-PBE",
  "state": "optimized geometry",
  "spacegroup": "R-3m (166)",
  "total_energy_ev_per_atom": -3.238,
  "formation_enthalpy_0k_ev_per_atom": -0.18,
  "cell": [[4.521, 0.000, 0.000], [2.260, 3.915, 0.000], [2.260, 1.305, 9.119]],
  "species": ["Au", "Au", "Au", "Au", "Na", "Sn", "Ga", "Ga"],
  "fractional_positions": [[0.116, 0.116, 0.653], [0.884, 0.884, 0.347], [0.607, 0.607, 0.178], [0.393, 0.393, 0.822], [0.000, 0.000, 0.000], [0.500, 0.500, 0.500], [0.273, 0.273, 0.182], [0.727, 0.727, 0.818]]
}


Record 6
{
  "formula": "NaGaSnAu3",
  "functional": "GGA-PBE",
  "state": "optimized geometry",
  "spacegroup": "Cmcm (63)",
  "total_energy_ev_per_atom": -3.197,
  "formation_enthalpy_0k_ev_per_atom": -0.17,
  "cell": [[5.634, 0.000, 0.000], [0.000, 8.907, 0.000], [0.000, -4.453, 6.700]],
  "species": ["Na", "Na", "Au", "Au", "Au", "Au", "Au", "Au", "Sn", "Sn", "Ga", "Ga"],
  "fractional_positions": [[0.250, 0.819, 0.639], [0.750, 0.181, 0.361], [0.000, 0.235, 0.000], [0.750, 0.756, 0.511], [0.500, 0.235, 0.000], [0.000, 0.765, 0.000], [0.500, 0.765, 0.000], [0.250, 0.244, 0.489], [0.250, 0.444, 0.889], [0.750, 0.556, 0.111], [0.750, 0.943, 0.887], [0.250, 0.057, 0.113]]
}


Record 7
{
  "formula": "NaGaSn2Au",
  "functional": "GGA-PBE",
  "state": "optimized geometry",
  "spacegroup": "P4/mmm (123)",
  "total_energy_ev_per_atom": -2.987,
  "formation_enthalpy_0k_ev_per_atom": 0.14,
  "cell": [[5.614, 0.000, 0.000], [0.000, 4.857, 0.000], [0.000, 0.000, 5.614]],
  "species": ["Sn", "Sn", "Na", "Ga", "Au"],
  "fractional_positions": [[0.500, 0.000, 0.000], [0.000, 0.000, 0.500], [0.500, 0.500, 0.500], [0.000, 0.500, 0.000], [0.000, 0.000, 0.000]]
}


Record 8
{
  "formula": "NaGaSnAu",
  "functional": "GGA-PBE",
  "state": "optimized geometry",
  "spacegroup": "F-43m (216)",
  "total_energy_ev_per_atom": -3.048,
  "formation_enthalpy_0k_ev_per_atom": -0.14,
  "cell": [[4.957, 0.000, 0.000], [2.479, 4.293, 0.000], [2.479, 1.431, 4.048]],
  "species": ["Na", "Sn", "Ga", "Au"],
  "fractional_positions": [[0.750, 0.750, 0.750], [0.250, 0.250, 0.250], [0.000, 0.000, 0.000], [0.500, 0.500, 0.500]]
}


Record 9
{
  "formula": "Na2Ga3SnAu4",
  "functional": "GGA-PBE",
  "state": "optimized geometry",
  "spacegroup": "P-4m2 (115)",
  "total_energy_ev_per_atom": -3.173,
  "formation_enthalpy_0k_ev_per_atom": -0.29,
  "cell": [[-0.160, 1.625, -4.184], [-4.440, -0.667, -0.089], [-1.601, 10.128, 3.994]],
  "species": ["Au", "Au", "Au", "Au", "Ga", "Ga", "Ga", "Na", "Na", "Sn"],
  "fractional_positions": [[0.000, 0.000, 0.000], [0.000, 0.500, 0.352], [0.500, 0.000, 0.648], [0.500, 0.500, 0.000], [0.000, 0.500, 0.124], [0.000, 0.000, 0.500], [0.500, 0.000, 0.876], [0.000, 0.500, 0.763], [0.500, 0.000, 0.237], [0.500, 0.500, 0.500]]
}


Record 10
{
  "formula": "Na2Ga2SnAu5",
  "functional": "GGA-PBE",
  "state": "optimized geometry",
  "spacegroup": "P4/mbm (127)",
  "total_energy_ev_per_atom": -3.177,
  "formation_enthalpy_0k_ev_per_atom": -0.27,
  "cell": [[3.658, 0.000, 0.000], [0.000, 10.679, 0.000], [0.000, 0.000, 10.679]],
  "species": ["Na", "Na", "Na", "Na", "Ga", "Ga", "Ga", "Ga", "Au", "Au", "Au", "Au", "Au", "Au", "Au", "Au", "Au", "Au", "Sn", "Sn"],
  "fractional_positions": [[0.000, 0.174, 0.326], [0.000, 0.674, 0.174], [0.000, 0.826, 0.674], [0.000, 0.326, 0.826], [0.000, 0.374, 0.126], [0.000, 0.126, 0.626], [0.000, 0.626, 0.874], [0.000, 0.874, 0.374], [0.500, 0.939, 0.204], [0.500, 0.500, 0.000], [0.500, 0.061, 0.796], [0.500, 0.204, 0.061], [0.500, 0.796, 0.939], [0.500, 0.704, 0.439], [0.500, 0.000, 0.500], [0.500, 0.561, 0.704], [0.500, 0.296, 0.561], [0.500, 0.439, 0.296], [0.000, 0.000, 0.000], [0.000, 0.500, 0.500]]
}


Record 11
{
  "formula": "NaSr2Ga3Au12",
  "functional": "GGA-PBE",
  "state": "optimized geometry",
  "spacegroup": "R-3m (166)",
  "total_energy_ev_per_atom": -3.179,
  "formation_enthalpy_0k_ev_per_atom": -0.23,
  "cell": [[-2.153, -4.184, 5.627], [-1.353, -5.773, -4.317], [6.711, -2.792, 0.986]],
  "species": ["Sr", "Sr", "Au", "Au", "Au", "Au", "Au", "Au", "Au", "Au", "Au", "Au", "Au", "Au", "Ga", "Ga", "Ga", "Na"],
  "fractional_positions": [[0.332, 0.332, 0.332], [0.668, 0.668, 0.668], [0.186, 0.702, 0.186], [0.298, 0.814, 0.814], [0.100, 0.609, 0.609], [0.609, 0.100, 0.609], [0.186, 0.186, 0.702], [0.814, 0.814, 0.298], [0.609, 0.609, 0.100], [0.391, 0.900, 0.391], [0.391, 0.391, 0.900], [0.702, 0.186, 0.186], [0.900, 0.391, 0.391], [0.814, 0.298, 0.814], [0.000, 0.500, 0.000], [0.500, 0.000, 0.000], [0.000, 0.000, 0.500], [0.000, 0.000, 0.000]]
}


Record 12
{
  "formula": "NaTaGaAu2",
  "functional": "GGA-PBE",
  "state": "optimized geometry",
  "spacegroup": "P4/mmm (123)",
  "total_energy_ev_per_atom": -3.843,
  "formation_enthalpy_0k_ev_per_atom": 0.71,
  "cell": [[-2.950, 2.462, -2.998], [0.248, -3.663, -3.251], [-3.871, -2.107, 2.079]],
  "species": ["Au", "Au", "Ga", "Ta", "Na"],
  "fractional_positions": [[0.000, 0.000, 0.500], [0.500, 0.000, 0.000], [0.000, 0.000, 0.000], [0.000, 0.500, 0.000], [0.500, 0.500, 0.500]]
}